# 1
Here is an optimized crystal structure of BOsI2N from Alexandria. Energies are from GGA-PBE.

Cell: 5.544 5.544 3.733 Å, 90.00 90.00 90.00°
Element x y z (fractional)
B: 0.000 0.000 0.000
Os: 0.500 0.500 0.500
I: 0.000 0.500 0.500
I: 0.500 0.000 0.500
N: 0.500 0.500 0.000

---

# 2
Here is an optimized crystal structure of BPI2N from Alexandria. Energies are from GGA-PBE.

Cell: 7.909 7.909 2.685 Å, 90.00 90.00 90.00°
Element x y z (fractional)
B: 0.000 0.000 0.000
P: 0.500 0.500 0.500
I: 0.000 0.500 0.000
I: 0.500 0.000 0.000
N: 0.000 0.000 0.500

---

# 3
Here is an optimized crystal structure of BPIN2 from Alexandria. Energies are from GGA-PBE.

Cell: 3.437 3.437 7.135 Å, 90.00 90.00 90.00°
Element x y z (fractional)
B: 0.000 0.000 0.000
P: 0.500 0.500 0.500
I: 0.000 0.000 0.500
N: 0.000 0.500 0.000
N: 0.500 0.000 0.000

---

# 4
Here is an optimized crystal structure of BPI2N from Alexandria. Energies are from GGA-PBE.

Cell: 5.939 5.939 3.322 Å, 90.00 90.00 90.00°
Element x y z (fractional)
B: 0.000 0.000 0.000
P: 0.500 0.500 0.500
I: 0.000 0.500 0.500
I: 0.500 0.000 0.500
N: 0.500 0.500 0.000

---

Summary of total energy in eV per formula unit
-23.07; -21.45; -21.35; -16.90
(order as listed above)
Summary of energy above the most stable polymorph in this dataset in eV/atom
0.191; 0.000; 0.373; 0.911
(order as listed above)